{
  "formula": "Tm6Te3AsPt2",
  "functional": "PBE",
  "state": "relaxed",
  "cell": [[7.158, -0.018, -0.010], [-3.593, 6.191, -0.010], [-1.198, -2.075, 7.168]],
  "species": ["Tm", "Tm", "Tm", "Tm", "Tm", "Tm", "Te", "Te", "Te", "As", "Pt", "Pt"],
  "fractional_positions": [[0.929, 0.587, 0.786], [0.728, 0.728, 0.213], [0.071, 0.413, 0.214], [0.587, 0.929, 0.786], [0.272, 0.272, 0.787], [0.413, 0.071, 0.214], [0.162, 0.838, 0.500], [0.838, 0.162, 0.500], [0.500, 0.500, 0.500], [0.000, 0.000, 0.000], [0.332, 0.668, 0.000], [0.668, 0.332, 0.000]],
  "formation_energy_uncorrected_ev_per_atom": -1.294,
  "dos_at_fermi_per_ev_fu": 5.09
}